# POsRh | Alexandria via LeMat-Bulk | GGA-PBE | optimized geometry
data_POsRh
_cell_length_a 2.949
_cell_length_b 4.925
_cell_length_c 11.841
_cell_angle_alpha 90.00
_cell_angle_beta 90.00
_cell_angle_gamma 90.00
_symmetry_space_group_name_H-M 'F m m 2'
_symmetry_Int_Tables_number 42
_symmetry_space_group_name_Hall 'F 2 -2'
loop_
_atom_site_label
_atom_site_type_symbol
_atom_site_fract_x
_atom_site_fract_y
_atom_site_fract_z
_atom_site_occupancy
P1 P 0.000 0.000 0.000 1
Os1 Os 0.000 0.000 0.353 1
Rh1 Rh 0.000 0.000 0.648 1
# * crystal system: orthorhombic
# * VASP energy: -7.741 eV per atom
# * energy of formation: 0.256 eV per atom
# * ΔE to the lowest computed polymorph: 526 meV/atom